[1]
AcAl2Ge: relaxed, GGA-PBE.

size of the total moment	0.00	μB/atom
offset from the most stable computed form	74	meV/atom

```
AcAl2Ge
1.0
3.673 0.000 0.000
0.000 3.673 0.000
0.000 0.000 7.069
Ac Ge Al
1 1 2
direct
0.500 0.500 0.500
0.500 0.500 0.000
0.000 0.000 0.183
0.000 0.000 0.817
```


[2]
CaNi9Sb4: relaxed, GGA-PBE.

size of the total moment	0.00	μB/atom
formation energy from raw total energies	-0.24	eV per atom

```
CaNi9Sb4
1.0
7.239 0.000 -4.082
-2.302 6.864 -4.082
0.060 0.084 8.567
Ni Sb Ca
18 8 2
direct
0.706 0.563 0.000
0.437 0.937 0.643
0.563 0.294 0.000
0.794 0.063 0.000
0.206 0.937 0.000
0.206 0.706 0.643
0.706 0.437 0.643
0.437 0.706 0.000
0.000 0.500 0.000
0.937 0.794 0.000
0.294 0.437 0.000
0.063 0.206 0.000
0.937 0.206 0.643
0.563 0.063 0.357
0.794 0.294 0.357
0.294 0.563 0.357
0.500 0.000 0.000
0.063 0.794 0.357
0.053 0.553 0.748
0.447 0.305 0.252
0.805 0.947 0.252
0.553 0.695 0.748
0.695 0.195 0.748
0.947 0.447 0.252
0.195 0.053 0.748
0.305 0.805 0.252
0.750 0.750 0.500
0.250 0.250 0.500
```